Compound: Cs2AgIF6
Source: Alexandria via LeMat-Bulk
Functional: PBE
Structure: optimized geometry

POSCAR file:
```
Cs2AgIF6
1.0
-0.5993 -6.5714 -2.2784
5.0837 1.1468 -4.6448
5.4449 -4.1009 -0.2991
I Ag F Cs
1 1 6 2
direct
0.0000 0.0000 0.0000
0.5000 0.5000 0.0000
0.2926 0.2926 0.0000
0.7074 0.7074 0.0000
0.7786 0.7786 0.4429
0.2926 0.7074 0.0000
0.2214 0.2214 0.5571
0.7074 0.2926 0.0000
0.2500 0.7500 0.5000
0.7500 0.2500 0.5000
```

Properties
DOS(E_F): 0.00 states/eV/cell
Energy relative to the elements, uncorrected: -174.64 kJ per mole of atoms
Magnetization: 0.00 μB per cell